Material: HgI2N
Method: DFT, PBE
State: relaxed

* E_tot: -1.573 eV/atom
* space-group type: Fm-3m, No. 225
* formation energy without anion corrections: 1.3589 eV/atom
* DOS at the Fermi energy: 1.5 states/eV/cell

abc: 5.445 5.445 5.445
angles: 60.00 60.00 60.00
Sites, in units of the cell vectors:
Hg: 0.000 0.000 0.000
I: 0.250 0.250 0.250
I: 0.750 0.750 0.750
N: 0.500 0.500 0.500


Material: Nd5TlRh4
Method: DFT, PBE
State: relaxed

* E_tot: -6.141 eV/atom
* space-group type: P4/mmm, No. 123
* DOS at the Fermi energy: 9.6 states/eV/cell
* formation energy: -0.580 eV/atom

abc: 3.539 3.539 19.062
angles: 90.00 90.00 90.00
Sites, in units of the cell vectors:
Nd: 0.000 0.000 0.000
Nd: 0.000 0.000 0.187
Nd: 0.000 0.000 0.371
Nd: 0.000 0.000 0.629
Nd: 0.000 0.000 0.813
Tl: 0.500 0.500 0.500
Rh: 0.500 0.500 0.094
Rh: 0.500 0.500 0.281
Rh: 0.500 0.500 0.719
Rh: 0.500 0.500 0.906


Material: La3Te
Method: DFT, PBE
State: relaxed

* E_tot: -5.074 eV/atom
* space-group type: P4/mmm, No. 123
* formation energy without anion corrections: -0.5934 eV/atom
* DOS at the Fermi energy: 4.3 states/eV/cell

abc: 5.697 5.697 3.959
angles: 90.00 90.00 90.00
Sites, in units of the cell vectors:
La: 0.000 0.000 0.000
La: 0.000 0.500 0.500
La: 0.500 0.000 0.500
Te: 0.500 0.500 0.000